# PBE MnNi4Sb, relaxed
data_MnNi4Sb
_symmetry_space_group_name_H-M 'C m m m'
_symmetry_Int_Tables_number 65
_symmetry_space_group_name_Hall '-C 2 2'
_cell_length_a 4.893
_cell_length_b 7.413
_cell_length_c 4.927
_cell_angle_alpha 90.00
_cell_angle_beta 90.00
_cell_angle_gamma 90.00
loop_
_atom_site_label
_atom_site_type_symbol
_atom_site_fract_x
_atom_site_fract_y
_atom_site_fract_z
_atom_site_occupancy
Mn1 Mn 0.000 0.000 0.000 1
Ni1 Ni 0.250 0.250 0.244 1
Sb1 Sb 0.000 0.500 0.500 1
# Energy above the most stable polymorph in this dataset   6.59 kcal/mol of atoms
# Total moment   4.039 μB per formula unit
# Formation energy from raw total energies   0.181 eV/atom